Computed, not measured: a relaxed CaTl2Ag2Br6 crystal at the GGA-PBE level of DFT.

abc: 7.9748 8.1828 7.8244
angles: 116.27 90.00 119.16
Last column: nearest neighbours and their distance in Å.
Sites, in units of the cell vectors:
Tl (0.2593, 0.5187, 0.8174)  5 Br 3.32-3.39
Tl (0.7407, 0.4813, 0.1826)  5 Br 3.32-3.39
Br (0.3185, 0.1342, 0.8153)  1 Ag 2.68, 1 Ca 2.92
Br (0.2765, 0.5529, 0.4100)  1 Ag 2.60, 1 Ca 2.90
Br (0.8158, 0.1342, 0.8153)  1 Ag 2.68, 1 Ca 2.92
Br (0.7235, 0.4471, 0.5900)  1 Ag 2.60, 1 Ca 2.90
Br (0.1842, 0.8658, 0.1847)  1 Ag 2.68, 1 Ca 2.92
Br (0.6815, 0.8658, 0.1847)  1 Ag 2.68, 1 Ca 2.92
Ag (0.0658, 0.1317, 0.2206)  3 Br 2.60-2.68
Ag (0.9342, 0.8683, 0.7794)  3 Br 2.60-2.68
Ca (0.5000, 0.0000, 0.5000)  6 Br 2.90-2.92

Results
Final energy in eV/atom: -2.997
Formation energy without anion corrections in eV/atom: -0.9537
Spin magnetization in μB/f.u.: 0.00
Space group: C2/m